[1]
Entry from Alexandria via LeMat-Bulk: Tl6Cd3Hg2 after structural relaxation (PBE-GGA).

```
Tl6Cd3Hg2
1.0
3.4770 0.0000 0.2133
1.7320 3.0149 0.2133
-0.0742 -0.0429 29.6546
Tl Cd Hg
6 3 2
Direct
0.0890 0.0890 0.7330 Tl
0.1831 0.1831 0.4506 Tl
0.3629 0.3629 0.9113 Tl
0.9110 0.9110 0.2670 Tl
0.8169 0.8169 0.5494 Tl
0.6371 0.6371 0.0887 Tl
0.7258 0.7258 0.8225 Cd
0.2742 0.2742 0.1775 Cd
0.0000 0.0000 0.0000 Cd
0.5469 0.5469 0.3592 Hg
0.4531 0.4531 0.6408 Hg
```

calculated total energy	-1.559	eV per atom
ρ	10493	kg/m³
formation enthalpy at 0 K	0.037	eV per atom


[2]
Entry from Alexandria via LeMat-Bulk: NdCu3 after structural relaxation (PBE-GGA).

```
NdCu3
1.0
4.2361 0.0000 0.0000
-2.1180 4.8894 0.0000
0.0000 0.0000 6.7035
Nd Cu
2 6
Direct
0.4157 0.8313 0.7500 Nd
0.5843 0.1687 0.2500 Nd
0.8702 0.7405 0.4372 Cu
0.8702 0.7405 0.0628 Cu
0.7078 0.4155 0.7500 Cu
0.1298 0.2595 0.9372 Cu
0.1298 0.2595 0.5628 Cu
0.2922 0.5845 0.2500 Cu
```

calculated total energy	-4.433	eV per atom
ρ	8010	kg/m³
formation enthalpy at 0 K	-0.169	eV per atom


[3]
Entry from Alexandria via LeMat-Bulk: SrZn2H6 after structural relaxation (PBE-GGA).

```
SrZn2H6
1.0
4.3142 0.0000 0.0000
-2.1571 5.9525 -0.0996
0.0000 -1.9962 4.3412
H Zn Sr
6 2 1
Direct
0.1053 0.2106 0.1438 H
0.3880 0.7761 0.4561 H
0.7623 0.5246 0.1786 H
0.8947 0.7894 0.8562 H
0.2377 0.4754 0.8214 H
0.6120 0.2239 0.5439 H
0.7534 0.5067 0.8120 Zn
0.2466 0.4933 0.1880 Zn
0.0000 0.0000 0.5000 Sr
```

calculated total energy	-2.847	eV per atom
ρ	3370	kg/m³
energy above the lowest structure with this stoichiometry	0.000	eV/atom


[4]
Entry from Alexandria via LeMat-Bulk: AlIr2Cl after structural relaxation (PBE-GGA).

```
AlIr2Cl
1.0
-2.0308 -0.8028 2.9096
-0.8827 -2.3550 -1.2659
5.3238 -4.9847 2.3404
Ir Cl Al
2 1 1
Direct
0.0000 0.7953 0.0372 Ir
0.5000 0.1881 0.2458 Ir
0.5000 0.8997 0.8331 Cl
0.0000 0.6169 0.3839 Al
```

calculated total energy	-5.851	eV per atom
ρ	9632	kg/m³
formation energy from raw total energies	-23	meV/atom
energy above the lowest structure with this stoichiometry	0.029	eV/atom


[5]
Entry from Alexandria via LeMat-Bulk: CoTe3S after structural relaxation (PBE-GGA).

```
CoTe3S
1.0
-1.2311 2.6512 4.3132
-4.6365 1.1926 -2.0565
-2.0337 -4.3240 2.0774
Co S Te
1 1 3
Direct
0.5000 0.5000 0.5000 Co
0.0000 0.0000 0.0000 S
0.0000 0.0000 0.5000 Te
0.0000 0.5000 0.0000 Te
0.5000 0.0000 0.0000 Te
```

calculated total energy	-3.134	eV per atom
ρ	5562	kg/m³
formation energy from raw total energies	998	meV/atom
energy above the lowest structure with this stoichiometry	0.430	eV/atom


[6]
Entry from Alexandria via LeMat-Bulk: Sm3DyHo2 after structural relaxation (PBE-GGA).

```
Sm3DyHo2
1.0
7.2155 0.0000 0.0000
0.0000 6.2455 -0.1958
-3.6078 -1.8103 8.7100
Ho Sm Dy
4 6 2
Direct
0.7907 0.5281 0.3326 Ho
0.5420 0.0281 0.3326 Ho
0.2093 0.4719 0.6674 Ho
0.4580 0.9719 0.6674 Ho
0.0422 0.0268 0.3348 Sm
0.1268 0.7500 0.0000 Sm
0.2926 0.5268 0.3348 Sm
0.7074 0.4732 0.6652 Sm
0.9578 0.9732 0.6652 Sm
0.8732 0.2500 0.0000 Sm
0.3766 0.2500 0.0000 Dy
0.6234 0.7500 0.0000 Dy
```

calculated total energy	-4.649	eV per atom
ρ	8035	kg/m³
formation enthalpy at 0 K	0.003	eV per atom


Copy entry 2 word for word.
Entry from Alexandria via LeMat-Bulk: NdCu3 after structural relaxation (PBE-GGA).

```
NdCu3
1.0
4.2361 0.0000 0.0000
-2.1180 4.8894 0.0000
0.0000 0.0000 6.7035
Nd Cu
2 6
Direct
0.4157 0.8313 0.7500 Nd
0.5843 0.1687 0.2500 Nd
0.8702 0.7405 0.4372 Cu
0.8702 0.7405 0.0628 Cu
0.7078 0.4155 0.7500 Cu
0.1298 0.2595 0.9372 Cu
0.1298 0.2595 0.5628 Cu
0.2922 0.5845 0.2500 Cu
```

calculated total energy	-4.433	eV per atom
ρ	8010	kg/m³
formation enthalpy at 0 K	-0.169	eV per atom


- Which formula does entry 4 have?
  AlIr2Cl